VASP calculation (PBE) on Rb2Na3TlBr6 after structural relaxation.

- E_form (uncorrected) (kJ/mol of atoms) = -143.3

a = 20.098 Å, b = 4.538 Å, c = 9.249 Å
α = 90.00°, β = 104.78°, γ = 90.00°
Space group C2/m (No. 12)
One atom of each set of equivalent atoms:
Rb 0.166 0.000 0.329
Na 0.000 0.500 0.500
Na 0.165 0.000 0.833
Tl 0.000 0.500 0.000
Br 0.008 0.000 0.735
Br 0.158 0.500 0.603
Br 0.173 0.500 0.059

***

VASP calculation (PBE) on BaAcBiBr after structural relaxation.

- E_form (uncorrected) (kJ/mol of atoms) = -117.6
- energy above the most stable polymorph in this dataset (meV/atom) = 0

a = 5.3910 Å, b = 5.3910 Å, c = 41.5084 Å
α = 90.00°, β = 90.00°, γ = 120.00°
Space group R-3m (No. 166, hexagonal axes)
One atom of each set of equivalent atoms:
Ba 0.0000 0.0000 0.1113
Ac 0.0000 0.0000 0.3038
Bi 0.0000 0.0000 0.3939
Br 0.0000 0.0000 0.1945